Arrangement i

Entry from the Alexandria database: a relaxed structure of Ce2InBi4 (GGA-PBE).

Unit cell a=4.625 b=4.625 c=10.553 alpha=90.00 beta=90.00 gamma=90.00
Positions (direct):
Ce 0.500 0.000 0.741
Bi 0.000 0.500 0.809
In 0.500 0.500 0.000
Bi 0.500 0.000 0.191
Ce 0.000 0.500 0.259
Bi 0.000 0.000 0.500
Bi 0.500 0.500 0.500

Total moment in μB/cell: 2.056

Arrangement ii

Entry from the Alexandria database: a relaxed structure of Ce2InBi4 (GGA-PBE).

Unit cell a=7.048 b=7.048 c=6.721 alpha=121.65 beta=121.65 gamma=90.13
Positions (direct):
Bi 0.286 0.786 0.071
Bi 0.786 0.286 0.071
Bi 0.786 0.786 0.072
Bi 0.286 0.286 0.071
In 0.786 0.786 0.571
Ce 0.286 0.786 0.571
Ce 0.786 0.286 0.571

Total moment in μB/cell: 1.302

Last place for stability: arrangement i

Arrangement i

Entry from the Alexandria database: a relaxed structure of Ce2InBi (GGA-PBE).

Unit cell a=4.511 b=5.075 c=5.075 alpha=90.00 beta=90.00 gamma=90.00
Positions (direct):
Ce 0.000 0.000 0.500
Ce 0.000 0.500 0.000
In 0.500 0.000 0.000
Bi 0.500 0.500 0.500

Total moment in μB/cell: 2.432

Arrangement ii

Entry from the Alexandria database: a relaxed structure of Ce2InBi (GGA-PBE).

Unit cell a=5.519 b=5.519 c=5.519 alpha=60.00 beta=60.00 gamma=60.00
Positions (direct):
Ce 0.750 0.750 0.750
Bi 0.000 0.000 0.000
In 0.500 0.500 0.500
Ce 0.250 0.250 0.250

Total moment in μB/cell: 2.971

Last place for stability: arrangement ii

Arrangement i

Entry from the Alexandria database: a relaxed structure of Ce2InBi (GGA-PBE).

Unit cell a=4.166 b=4.166 c=6.790 alpha=90.00 beta=90.00 gamma=90.00
Positions (direct):
Ce 0.000 0.000 0.746
Ce 0.000 0.000 0.254
Bi 0.500 0.500 0.000
In 0.500 0.500 0.500

Total moment in μB/cell: 2.830

Arrangement ii

Entry from the Alexandria database: a relaxed structure of Ce2InBi (GGA-PBE).

Unit cell a=4.365 b=4.377 c=8.509 alpha=104.80 beta=90.00 gamma=119.91
Positions (direct):
Ce 0.748 0.495 0.744
Bi 0.000 0.000 0.500
In 0.500 0.000 0.000
Ce 0.252 0.505 0.256

Total moment in μB/cell: 1.720

Last place for stability: arrangement ii

Arrangement i

Entry from the Alexandria database: a relaxed structure of CeInBi2 (GGA-PBE).

Unit cell a=4.834 b=4.834 c=7.363 alpha=70.84 beta=70.84 gamma=60.00
Positions (direct):
Ce 0.666 0.666 0.003
In 0.497 0.497 0.510
Bi 0.080 0.080 0.759
Bi 0.257 0.257 0.228

Total moment in μB/cell: 0.601

Arrangement ii

Entry from the Alexandria database: a relaxed structure of CeInBi2 (GGA-PBE).

Unit cell a=3.419 b=3.419 c=12.839 alpha=82.35 beta=82.35 gamma=60.00
Positions (direct):
In 0.500 0.500 0.500
Bi 0.087 0.087 0.740
Ce 0.000 0.000 0.000
Bi 0.913 0.913 0.260

Total moment in μB/cell: 1.440

Last place for stability: arrangement ii

Arrangement i

Entry from the Alexandria database: a relaxed structure of CeInBi2 (GGA-PBE).

Unit cell a=4.250 b=4.250 c=6.708 alpha=90.00 beta=90.00 gamma=90.00
Positions (direct):
Bi 0.000 0.000 0.739
In 0.500 0.500 0.000
Ce 0.500 0.500 0.500
Bi 0.000 0.000 0.261

Total moment in μB/cell: 0.870

Arrangement ii

Entry from the Alexandria database: a relaxed structure of CeInBi2 (GGA-PBE).

Unit cell a=4.489 b=5.067 c=5.067 alpha=90.00 beta=90.00 gamma=90.00
Positions (direct):
Bi 0.000 0.500 0.000
Ce 0.500 0.500 0.500
In 0.500 0.000 0.000
Bi 0.000 0.000 0.500

Total moment in μB/cell: 0.490

Last place for stability: arrangement i

Arrangement i

Entry from the Alexandria database: a relaxed structure of CeInBi (GGA-PBE).

Unit cell a=4.590 b=4.837 c=4.626 alpha=90.00 beta=90.00 gamma=90.00
Positions (direct):
Ce 0.000 0.000 0.374
Bi 0.500 0.000 0.874
In 0.000 0.500 0.874

Total moment in μB/cell: 1.132

Arrangement ii

Entry from the Alexandria database: a relaxed structure of CeInBi (GGA-PBE).

Unit cell a=4.008 b=4.008 c=6.198 alpha=108.87 beta=108.87 gamma=90.00
Positions (direct):
Bi 0.296 0.296 0.591
In 0.937 0.937 0.874
Ce 0.617 0.617 0.235

Total moment in μB/cell: 1.705

Last place for stability: arrangement ii

Arrangement i

Entry from the Alexandria database: a relaxed structure of Ce2InBi3 (GGA-PBE).

Unit cell a=4.631 b=6.324 c=8.184 alpha=112.73 beta=106.44 gamma=90.00
Positions (direct):
Bi 0.320 0.320 0.641
Ce 0.336 0.836 0.671
Bi 0.000 0.000 0.000
Ce 0.664 0.164 0.329
Bi 0.680 0.680 0.359
In 0.000 0.500 0.000

Total moment in μB/cell: 0.882

Arrangement ii

Entry from the Alexandria database: a relaxed structure of Ce2InBi3 (GGA-PBE).

Unit cell a=4.571 b=4.738 c=8.559 alpha=90.00 beta=105.49 gamma=90.00
Positions (direct):
Bi 0.325 0.000 0.650
Bi 0.500 0.500 0.000
Ce 0.855 0.500 0.710
Bi 0.675 0.000 0.350
Ce 0.145 0.500 0.290
In 0.000 0.000 0.000

Total moment in μB/cell: 1.603

Last place for stability: arrangement i

Arrangement i

Entry from the Alexandria database: a relaxed structure of CeMgInBi (GGA-PBE).

Unit cell a=4.482 b=4.790 c=5.039 alpha=90.00 beta=90.00 gamma=90.00
Positions (direct):
Mg 0.000 0.000 0.000
Ce 0.000 0.500 0.500
Bi 0.500 0.000 0.500
In 0.500 0.500 0.000

Total moment in μB/cell: 0.866

Arrangement ii

Entry from the Alexandria database: a relaxed structure of CeMgInBi (GGA-PBE).

Unit cell a=5.386 b=5.386 c=5.386 alpha=60.00 beta=60.00 gamma=60.00
Positions (direct):
In 0.750 0.750 0.750
Ce 0.500 0.500 0.500
Bi 0.250 0.250 0.250
Mg 0.000 0.000 0.000

Total moment in μB/cell: 1.216

Last place for stability: arrangement ii